# Al2CuIr (PBEsol, optimized geometry)
data_Al2CuIr
_cell_length_a 5.068
_cell_length_b 8.043
_cell_length_c 5.196
_cell_angle_alpha 90.00
_cell_angle_beta 90.00
_cell_angle_gamma 90.00
_symmetry_space_group_name_H-M 'C m m e'
_symmetry_Int_Tables_number 67
_symmetry_space_group_name_Hall '-C 2a 2'
loop_
_atom_site_label
_atom_site_type_symbol
_atom_site_fract_x
_atom_site_fract_y
_atom_site_fract_z
Al1 Al 0.000 0.250 0.172
Al2 Al 0.250 0.000 0.500
Cu1 Cu 0.250 0.000 0.000
Ir1 Ir 0.000 0.250 0.681
# Volume ... 13.24 Å³/atom
# Total energy ... -6.251 eV/atom

# AlCu2Ir (PBEsol, optimized geometry)
data_AlCu2Ir
_cell_length_a 2.6817
_cell_length_b 2.6817
_cell_length_c 24.9233
_cell_angle_alpha 90.00
_cell_angle_beta 90.00
_cell_angle_gamma 120.00
_symmetry_space_group_name_H-M 'R -3 m'
_symmetry_Int_Tables_number 166
_symmetry_space_group_name_Hall '-R 3 2"'
loop_
_atom_site_label
_atom_site_type_symbol
_atom_site_fract_x
_atom_site_fract_y
_atom_site_fract_z
Al1 Al 0.0000 0.0000 0.0000
Cu1 Cu 0.0000 0.0000 0.2524
Ir1 Ir 0.0000 0.0000 0.5000
# Volume ... 12.94 Å³/atom
# Total energy ... -5.654 eV/atom

# AlCuIr2 (PBEsol, optimized geometry)
data_AlCuIr2
_cell_length_a 2.787
_cell_length_b 4.242
_cell_length_c 4.592
_cell_angle_alpha 90.00
_cell_angle_beta 90.00
_cell_angle_gamma 90.00
_symmetry_space_group_name_H-M 'P m m m'
_symmetry_Int_Tables_number 47
loop_
_symmetry_equiv_pos_as_xyz
'x,y,z'
'-x,-y,-z'
'-x,-y,z'
'x,y,-z'
'x,-y,-z'
'-x,y,z'
'-x,y,-z'
'x,-y,z'
loop_
_atom_site_label
_atom_site_type_symbol
_atom_site_fract_x
_atom_site_fract_y
_atom_site_fract_z
Al1 Al 0.000 0.000 0.000
Cu1 Cu 0.500 0.000 0.500
Ir1 Ir 0.000 0.500 0.500
Ir2 Ir 0.500 0.500 0.000
# Volume ... 13.57 Å³/atom
# Total energy ... -7.215 eV/atom

# AlCuIr2Se (PBEsol, optimized geometry)
data_AlCuIr2Se
_cell_length_a 4.537
_cell_length_b 4.537
_cell_length_c 4.186
_cell_angle_alpha 90.00
_cell_angle_beta 90.00
_cell_angle_gamma 90.00
_symmetry_space_group_name_H-M 'P 4/m m m'
_symmetry_Int_Tables_number 123
_symmetry_space_group_name_Hall '-P 4 2'
loop_
_atom_site_label
_atom_site_type_symbol
_atom_site_fract_x
_atom_site_fract_y
_atom_site_fract_z
Al1 Al 0.000 0.000 0.000
Cu1 Cu 0.000 0.000 0.500
Ir1 Ir 0.000 0.500 0.500
Se1 Se 0.500 0.500 0.000
# Volume ... 17.23 Å³/atom
# Raw formation energy ... 1.10 eV/atom

# KAl2Cu (PBEsol, optimized geometry)
data_KAl2Cu
_cell_length_a 2.9836
_cell_length_b 2.9836
_cell_length_c 29.5727
_cell_angle_alpha 90.00
_cell_angle_beta 90.00
_cell_angle_gamma 120.00
_symmetry_space_group_name_H-M 'R -3 m'
_symmetry_Int_Tables_number 166
_symmetry_space_group_name_Hall '-R 3 2"'
loop_
_atom_site_label
_atom_site_type_symbol
_atom_site_fract_x
_atom_site_fract_y
_atom_site_fract_z
K1 K 0.0000 0.0000 0.0000
Al1 Al 0.0000 0.0000 0.2318
Cu1 Cu 0.0000 0.0000 0.5000
# Volume ... 19.00 Å³/atom
# Total energy ... -3.081 eV/atom

# KAlCu2 (PBEsol, optimized geometry)
data_KAlCu2
_cell_length_a 6.628
_cell_length_b 6.628
_cell_length_c 6.628
_cell_angle_alpha 90.00
_cell_angle_beta 90.00
_cell_angle_gamma 90.00
_symmetry_space_group_name_H-M 'F -4 3 m'
_symmetry_Int_Tables_number 216
_symmetry_space_group_name_Hall 'F -4 2 3'
loop_
_atom_site_label
_atom_site_type_symbol
_atom_site_fract_x
_atom_site_fract_y
_atom_site_fract_z
K1 K 0.000 0.000 0.000
Al1 Al 0.250 0.250 0.750
Cu1 Cu 0.000 0.000 0.500
Cu2 Cu 0.250 0.250 0.250
# Volume ... 18.20 Å³/atom
# Total energy ... -2.761 eV/atom

# KAlZn2Cu (PBEsol, optimized geometry)
data_KAlZn2Cu
_cell_length_a 4.743
_cell_length_b 4.743
_cell_length_c 4.629
_cell_angle_alpha 90.00
_cell_angle_beta 90.00
_cell_angle_gamma 90.00
_symmetry_space_group_name_H-M 'P 4/m m m'
_symmetry_Int_Tables_number 123
_symmetry_space_group_name_Hall '-P 4 2'
loop_
_atom_site_label
_atom_site_type_symbol
_atom_site_fract_x
_atom_site_fract_y
_atom_site_fract_z
K1 K 0.000 0.000 0.000
Al1 Al 0.500 0.500 0.000
Zn1 Zn 0.000 0.500 0.500
Cu1 Cu 0.500 0.500 0.500
# Volume ... 20.82 Å³/atom
# Total energy ... -2.348 eV/atom

# KAl2ZnCu (PBEsol, optimized geometry)
data_KAl2ZnCu
_cell_length_a 4.685
_cell_length_b 4.685
_cell_length_c 5.751
_cell_angle_alpha 90.00
_cell_angle_beta 90.00
_cell_angle_gamma 90.00
_symmetry_space_group_name_H-M 'P 4/m m m'
_symmetry_Int_Tables_number 123
_symmetry_space_group_name_Hall '-P 4 2'
loop_
_atom_site_label
_atom_site_type_symbol
_atom_site_fract_x
_atom_site_fract_y
_atom_site_fract_z
K1 K 0.000 0.000 0.000
Al1 Al 0.000 0.500 0.500
Zn1 Zn 0.000 0.000 0.500
Cu1 Cu 0.500 0.500 0.000
# Volume ... 25.25 Å³/atom
# Total energy ... -2.277 eV/atom

# LaAl2Cu (PBEsol, optimized geometry)
data_LaAl2Cu
_cell_length_a 5.164
_cell_length_b 7.478
_cell_length_c 4.271
_cell_angle_alpha 90.00
_cell_angle_beta 90.00
_cell_angle_gamma 90.00
_symmetry_space_group_name_H-M 'C m m m'
_symmetry_Int_Tables_number 65
_symmetry_space_group_name_Hall '-C 2 2'
loop_
_atom_site_label
_atom_site_type_symbol
_atom_site_fract_x
_atom_site_fract_y
_atom_site_fract_z
La1 La 0.000 0.000 0.000
Al1 Al 0.000 0.324 0.500
Cu1 Cu 0.000 0.500 0.000
# Volume ... 20.62 Å³/atom
# Total energy ... -4.737 eV/atom

# LaAl2Cu (PBEsol, optimized geometry)
data_LaAl2Cu
_cell_length_a 6.757
_cell_length_b 6.757
_cell_length_c 6.757
_cell_angle_alpha 90.00
_cell_angle_beta 90.00
_cell_angle_gamma 90.00
_symmetry_space_group_name_H-M 'F -4 3 m'
_symmetry_Int_Tables_number 216
_symmetry_space_group_name_Hall 'F -4 2 3'
loop_
_atom_site_label
_atom_site_type_symbol
_atom_site_fract_x
_atom_site_fract_y
_atom_site_fract_z
La1 La 0.000 0.000 0.000
Al1 Al 0.000 0.000 0.500
Al2 Al 0.250 0.250 0.750
Cu1 Cu 0.250 0.250 0.250
# Volume ... 19.28 Å³/atom
# Total energy ... -4.667 eV/atom

# LaAl2Cu (PBEsol, optimized geometry)
data_LaAl2Cu
_cell_length_a 4.1701
_cell_length_b 4.1701
_cell_length_c 16.5761
_cell_angle_alpha 90.00
_cell_angle_beta 90.00
_cell_angle_gamma 120.00
_symmetry_space_group_name_H-M 'R -3 m'
_symmetry_Int_Tables_number 166
_symmetry_space_group_name_Hall '-R 3 2"'
loop_
_atom_site_label
_atom_site_type_symbol
_atom_site_fract_x
_atom_site_fract_y
_atom_site_fract_z
La1 La 0.0000 0.0000 0.0000
Al1 Al 0.0000 0.0000 0.2056
Cu1 Cu 0.0000 0.0000 0.5000
# Volume ... 20.80 Å³/atom
# Total energy ... -4.819 eV/atom

# La2AlCu (PBEsol, optimized geometry)
data_La2AlCu
_cell_length_a 3.602
_cell_length_b 5.027
_cell_length_c 10.391
_cell_angle_alpha 90.00
_cell_angle_beta 90.00
_cell_angle_gamma 90.00
_symmetry_space_group_name_H-M 'I m m 2'
_symmetry_Int_Tables_number 44
loop_
_symmetry_equiv_pos_as_xyz
'x,y,z'
'-x,-y,z'
'-x,y,z'
'x,-y,z'
'x+1/2,y+1/2,z+1/2'
'-x+1/2,-y+1/2,z+1/2'
'-x+1/2,y+1/2,z+1/2'
'x+1/2,-y+1/2,z+1/2'
loop_
_atom_site_label
_atom_site_type_symbol
_atom_site_fract_x
_atom_site_fract_y
_atom_site_fract_z
La1 La 0.000 0.000 0.000
La2 La 0.000 0.500 0.201
Al1 Al 0.000 0.500 0.787
Cu1 Cu 0.000 0.000 0.449
# Volume ... 23.52 Å³/atom
# Total energy ... -5.014 eV/atom